Below is an optimized crystal structure of LiScSb4, with properties calculated at the GGA-PBE level.

Calculated values
- SG = F-43m, No. 216
- total energy (eV per formula unit) = -24.15
- energy relative to the elements, uncorrected (meV/atom) = 97
- calculated volume (Å³/cell) = 169.7
- total magnetic moment (μB/cell) = 1.43

Cell lengths 6.2144, 6.2144, 6.2144 Å; angles 60.00, 60.00, 60.00 degrees
Closest atoms and distances in Å follow each position.
Fractional coordinates of all 6 atoms:
Li 0.0000 0.0000 0.0000  12 Sb 3.64, 4 Sc 3.81
Sc 0.2500 0.2500 0.2500  12 Sb 3.64, 4 Li 3.81
Sb 0.1250 0.6250 0.6250  6 Sb 3.11
Sb 0.6250 0.1250 0.6250  6 Sb 3.11
Sb 0.6250 0.6250 0.1250  6 Sb 3.11
Sb 0.6250 0.6250 0.6250  6 Sb 3.11